Below is a relaxed Tl3In3BiI8 crystal, with properties calculated at the GGA-PBE level.

Results
Uncorrected energy   -38.7 eV per cell
Formation energy from raw total energies   -0.472 eV per atom

Lattice parameters (Å, degrees): 9.8760 9.9803 9.9313 119.79 90.00 119.65
Closest atoms and distances in Å follow each position.
Atoms (fractional coordinates):
Tl1 0.0000 0.0000 0.0000  6 I 3.54-3.58
Tl2 0.0000 0.5000 0.0000  6 I 3.52-3.59
Tl3 0.5000 0.5000 0.0000  6 I 3.52-3.59
In1 0.5000 0.0000 0.5000  6 I 3.51-3.54
In2 0.5000 0.5000 0.5000  6 I 3.49-3.56
In3 0.0000 0.5000 0.5000  6 I 3.49-3.56
Bi1 0.0000 0.0000 0.5000  4 I 3.13
I1 0.2513 0.5027 0.2535  3 In 3.49-3.54, 3 Tl 3.52-3.58
I2 0.7487 0.4973 0.7465  3 In 3.49-3.54, 3 Tl 3.52-3.58
I3 0.7294 0.4588 0.2328  2 In 3.49, 2 Tl 3.54, 1 Bi 3.85
I4 0.2706 0.5412 0.7672  2 In 3.49, 2 Tl 3.54, 1 Bi 3.85
I5 0.7767 0.0021 0.2786  1 Bi 3.13
I6 0.2233 0.9979 0.7214  1 Bi 3.13
I7 0.2254 0.0021 0.2786  1 Bi 3.13
I8 0.7746 0.9979 0.7214  1 Bi 3.13

Below is a relaxed Rb2LiHgSb crystal, with properties calculated at the GGA-PBE level.

Results
ΔE to the lowest computed polymorph   0 meV per atom
Uncorrected energy   -9.6 eV per cell
Formation energy from raw total energies   -0.260 eV per atom

Lattice parameters (Å, degrees): 7.1214 7.1214 5.2548 90.00 90.00 90.00
Closest atoms and distances in Å follow each position.
Atoms (fractional coordinates):
Sb1 0.0000 0.0000 0.0000  2 Li 2.63
Hg1 0.5000 0.5000 0.5000  8 Rb 4.43
Rb1 0.0000 0.5000 0.0000  2 Sb 3.56
Rb2 0.5000 0.0000 0.0000  2 Sb 3.56
Li1 0.0000 0.0000 0.5000  2 Sb 2.63